1.
! LaTbPS, optimized geometry, DFT GGA-PBE; values from VASP
&SYSTEM
  ibrav = 0, nat = 4, ntyp = 4
/
ATOMIC_SPECIES
La 138.91 La.upf
Tb 158.93 Tb.upf
P 30.97 P.upf
S 32.06 S.upf
CELL_PARAMETERS angstrom
2.0457 1.1811 6.7308
-2.0457 1.1811 6.7308
0.0000 -2.3622 6.7308
ATOMIC_POSITIONS crystal
La 0.0000 0.0000 0.0000
Tb 0.5048 0.5048 0.5048
P 0.2476 0.2476 0.2476
S 0.7574 0.7574 0.7574
! symmetry	R3m (160)
! raw total energy	-26.7	eV per cell
! mass density	6.14	g/cm³
! formation energy without anion corrections	-1.8946	eV/atom
! size of the total moment	0.0	μB/f.u.

---

2.
! TbCu6, optimized geometry, DFT GGA-PBE; values from VASP
&SYSTEM
  ibrav = 0, nat = 7, ntyp = 2
/
ATOMIC_SPECIES
Tb 158.93 Tb.upf
Cu 63.55 Cu.upf
CELL_PARAMETERS angstrom
5.4768 0.0000 0.0000
0.0000 5.4768 0.0000
0.0000 0.0000 5.4768
ATOMIC_POSITIONS crystal
Tb 0.0000 0.0000 0.0000
Cu 0.1974 0.5000 0.5000
Cu 0.5000 0.1974 0.5000
Cu 0.5000 0.5000 0.1974
Cu 0.5000 0.5000 0.8026
Cu 0.5000 0.8026 0.5000
Cu 0.8026 0.5000 0.5000
! symmetry	Pm-3m (221)
! raw total energy	-23.2	eV per cell
! mass density	5.46	g/cm³
! ΔH_f (0 K)	6.01	eV/f.u.
! size of the total moment	0.0	μB/f.u.

---

3.
! AlCoTe2N, optimized geometry, DFT GGA-PBE; values from VASP
&SYSTEM
  ibrav = 0, nat = 5, ntyp = 4
/
ATOMIC_SPECIES
Al 26.98 Al.upf
Co 58.93 Co.upf
Te 127.60 Te.upf
N 14.01 N.upf
CELL_PARAMETERS angstrom
5.1718 0.0000 0.0000
0.0000 5.1718 0.0000
0.0000 0.0000 3.5316
ATOMIC_POSITIONS crystal
Al 0.0000 0.0000 0.0000
Co 0.5000 0.5000 0.0000
Te 0.0000 0.5000 0.5000
Te 0.5000 0.0000 0.5000
N 0.5000 0.5000 0.5000
! symmetry	P4/mmm (123)
! raw total energy	-22.9	eV per cell
! mass density	6.24	g/cm³
! formation energy without anion corrections	0.5200	eV/atom
! size of the total moment	1.1	μB/f.u.

---

4.
! BaCaSc2, optimized geometry, DFT GGA-PBE; values from VASP
&SYSTEM
  ibrav = 0, nat = 8, ntyp = 3
/
ATOMIC_SPECIES
Ba 137.33 Ba.upf
Ca 40.08 Ca.upf
Sc 44.96 Sc.upf
CELL_PARAMETERS angstrom
-4.5214 4.5214 3.3695
4.5214 -4.5214 3.3695
4.5214 4.5214 -3.3695
ATOMIC_POSITIONS crystal
Ba 0.0000 0.0000 0.0000
Ba 0.7500 0.2500 0.5000
Ca 0.2500 0.7500 0.5000
Ca 0.5000 0.5000 0.0000
Sc 0.1245 0.6250 0.9995
Sc 0.3750 0.3745 0.4995
Sc 0.6255 0.1250 0.0005
Sc 0.8750 0.8755 0.5005
! symmetry	I-42d (122)
! raw total energy	-28.1	eV per cell
! mass density	3.22	g/cm³
! ΔH_f (0 K)	2.52	eV/f.u.
! size of the total moment	1.0	μB/f.u.

---

5.
! AcTh2PaAs4, optimized geometry, DFT GGA-PBE; values from VASP
&SYSTEM
  ibrav = 0, nat = 8, ntyp = 4
/
ATOMIC_SPECIES
Ac 227.00 Ac.upf
Th 232.04 Th.upf
Pa 231.04 Pa.upf
As 74.92 As.upf
CELL_PARAMETERS angstrom
-3.0293 3.0293 6.0554
3.0293 -3.0293 6.0554
3.0293 3.0293 -6.0554
ATOMIC_POSITIONS crystal
Ac 0.0000 0.0000 0.0000
Th 0.5000 0.5000 0.0000
Th 0.7500 0.2500 0.5000
Pa 0.2500 0.7500 0.5000
As 0.0059 0.5059 0.5000
As 0.2554 0.2554 0.0000
As 0.4941 0.9941 0.5000
As 0.7446 0.7446 0.0000
! symmetry	I-4m2 (119)
! raw total energy	-57.2	eV per cell
! mass density	9.13	g/cm³
! ΔH_f (0 K)	-10.13	eV/f.u.
! size of the total moment	1.1	μB/f.u.

---

6.
! Sr2P, optimized geometry, DFT GGA-PBE; values from VASP
&SYSTEM
  ibrav = 0, nat = 3, ntyp = 2
/
ATOMIC_SPECIES
Sr 87.62 Sr.upf
P 30.97 P.upf
CELL_PARAMETERS angstrom
5.0749 0.0000 0.0000
0.0000 5.0749 0.0000
0.0000 0.0000 3.9074
ATOMIC_POSITIONS crystal
Sr 0.0000 0.5000 0.0000
Sr 0.5000 0.0000 0.0000
P 0.0000 0.0000 0.5000
! symmetry	P4/mmm (123)
! raw total energy	-10.9	eV per cell
! mass density	3.40	g/cm³
! ΔH_f (0 K)	-2.13	eV/f.u.
! size of the total moment	0.6	μB/f.u.

---

> Among the records above, which one has the highest mass density?

AcTh2PaAs4